Computed, not measured: an optimized crystal structure of Sr3Sb4Pt4 at the PBE-GGA level of DFT.

a = 4.700 Å, b = 4.711 Å, c = 13.485 Å
α = 79.83°, β = 80.04°, γ = 89.99°
Fractional positions:
Sr 0.142 0.642 0.715
Sr 0.858 0.358 0.285
Sr 0.000 0.000 0.000
Sb 0.595 0.095 0.809
Sb 0.250 0.250 0.500
Sb 0.750 0.750 0.500
Sb 0.405 0.905 0.191
Pt 0.551 0.551 0.896
Pt 0.449 0.450 0.104
Pt 0.301 0.803 0.395
Pt 0.699 0.197 0.605

Results
Its total energy is -54.79 eV per formula unit. The uncorrected formation energy comes out at -79.7 kJ per mole of atoms. Its space-group type is No. 2. For the energy above the most stable polymorph in this dataset, the calculation gives 0.024 eV/atom.